# 1
Material: Al2IrRu2
Method: DFT, PBE
State: relaxed

Unit cell a=7.0076 b=7.0076 c=2.9609 alpha=90.00 beta=90.00 gamma=90.00
With the nearest neighbours (Å) after each atom.
Positions (direct):
Ir 0.5000 0.5000 0.0000  4 Ru 2.75, 2 Ir 2.96, 8 Al 2.99
Ru 0.6300 0.1300 0.0000  6 Al 2.47-2.59, 1 Ru 2.58, 2 Ir 2.75
Ru 0.3700 0.8700 0.0000  6 Al 2.47-2.59, 1 Ru 2.58, 2 Ir 2.75
Al 0.3300 0.1700 0.5000  6 Ru 2.47-2.59
Ru 0.1300 0.3700 0.0000  6 Al 2.47-2.59, 1 Ru 2.58, 2 Ir 2.75
Ru 0.8700 0.6300 0.0000  6 Al 2.47-2.59, 1 Ru 2.58, 2 Ir 2.75
Al 0.8300 0.3300 0.5000  6 Ru 2.47-2.59
Ir 0.0000 0.0000 0.0000  4 Ru 2.75, 2 Ir 2.96, 8 Al 2.99
Al 0.6700 0.8300 0.5000  6 Ru 2.47-2.59
Al 0.1700 0.6700 0.5000  6 Ru 2.47-2.59

energy above the most stable polymorph in this dataset = 0.72 eV/f.u.



# 2
Material: AlIr2Ru
Method: DFT, PBE
State: relaxed

Unit cell a=2.7925 b=2.7925 c=7.2533 alpha=90.00 beta=90.00 gamma=90.00
With the nearest neighbours (Å) after each atom.
Positions (direct):
Ir 0.0000 0.0000 0.9860  4 Al 2.60, 8 Ir 2.79
Ru 0.0000 0.0000 0.5049  4 Al 2.67, 4 Ir 2.67, 4 Ru 2.79
Ir 0.5000 0.5000 0.2573  4 Ru 2.67, 8 Ir 2.79
Al 0.5000 0.5000 0.7518  4 Ir 2.60, 4 Ru 2.67, 4 Al 2.79

raw total energy = -0.58735 Ry per atom